This record from Alexandria via LeMat-Bulk describes a relaxed NaMoPO2 crystal. The functional is GGA+U.

Structure (POSCAR):
```
NaMoPO2
1.0
3.9815 0.0000 0.0000
0.0000 3.9815 0.0000
0.0000 0.0000 5.0097
O Na Mo P
2 1 1 1
Cartesian
0.0000 1.9907 0.0000
1.9907 0.0000 0.0000
0.0000 0.0000 0.0000
1.9907 1.9907 2.5048
0.0000 0.0000 2.5048
```

Output
As for the magnetic moment: 4.2 μB/f.u. The value obtained for the excess energy over the best structure of this formula in the dataset is 802 kJ/mol of formula units.